## TaTl2Se2F4 (PBE)

Data for a relaxed TaTl2Se2F4 crystal.

Cell: 7.1510 7.1510 5.4820 Å, 92.65 92.65 49.85°
Atoms (fractional coordinates):
Ta: 0.0000 0.0000 0.0000
Tl: 0.3051 0.3051 0.7655
Tl: 0.6949 0.6949 0.2345
Se: 0.1811 0.1811 0.2399
Se: 0.8189 0.8189 0.7601
F: 0.1783 0.7221 0.2098
F: 0.2779 0.8217 0.7902
F: 0.7221 0.1783 0.2098
F: 0.8217 0.2779 0.7902

Calculated values
VASP energy: -0.1954 hartree per atom
formation energy without anion corrections: -1.87 eV per atom
total magnetic moment: 0.0 Bohr magnetons per cell